## AcScAl2 (GGA-PBE)

Data for crystalline AcScAl2 at its relaxed geometry.

Its spin magnetization is 0.0 μB per formula unit. Its relative energy among the computed polymorphs is 0.0000 eV per atom. The calculation puts the density of states at the Fermi level at 0.83 states/eV/atom. The formation energy is -116 kJ/mol of formula units. The symmetry is P4/mmm, No. 123.

Lattice parameters (Å, degrees): 3.6709 3.6709 7.3877 90.00 90.00 90.00
Sites, in units of the cell vectors:
Al1 0.0000 0.0000 0.1967
Al2 0.0000 0.0000 0.8033
Ac1 0.5000 0.5000 0.5000
Sc1 0.5000 0.5000 0.0000